Compound: SrCaW2
Source: the Alexandria database
Functional: PBE
Structure: relaxed

energy above the lowest structure with this stoichiometry	2.43	eV per formula unit
energy of formation	458	kJ/mol of formula units

Cell: 5.685 10.682 2.861 Å, 90.00 90.00 90.00°
Space group Cmmm (No. 65)
Symmetry-distinct sites (fractional):
Sr 0.000 0.000 0.000
Ca 0.000 0.500 0.000
W 0.250 0.250 0.500

***

Compound: SrCaW2
Source: the Alexandria database
Functional: PBE
Structure: relaxed

energy above the lowest structure with this stoichiometry	0.92	eV per formula unit
energy of formation	311	kJ/mol of formula units

Cell: 8.551 3.252 8.262 Å, 90.00 94.28 90.00°
Space group Cm (No. 8)
Symmetry-distinct sites (fractional):
Sr 0.000 0.000 0.000
Ca 0.277 0.500 0.400
W 0.025 0.500 0.638
W 0.246 0.000 0.735